VASP calculation (PBE) on MgSbPb after structural relaxation.

```
data_MgSbPb
_space_group_name_H-M_alt 'F -4 3 m'
_space_group_IT_number 216
_space_group_name_Hall 'F -4 2 3'
_cell_length_a 7.0958
_cell_length_b 7.0958
_cell_length_c 7.0958
_cell_angle_alpha 90.00
_cell_angle_beta 90.00
_cell_angle_gamma 90.00
loop_
_atom_site_label
_atom_site_fract_x
_atom_site_fract_y
_atom_site_fract_z
Mg1 0.0000 0.0000 0.0000
Sb1 0.2500 0.2500 0.2500
Pb1 0.2500 0.2500 0.7500
```

## Properties
Density of states at the Fermi level, states/eV per cell: 4.14
M_tot, μB per atom: 0.000
Formation energy (no corrections), eV per atom: -0.043